Entry 1:
Material: La2SiSe6
Method: DFT, PBE
State: optimized geometry

Structure (POSCAR):
```
La2SiSe6
1.0
5.838 0.000 0.000
0.000 7.862 0.000
-5.646 0.000 9.916
La Si Se
4 2 12
direct
0.179 0.096 0.253 La
0.179 0.404 0.753 La
0.821 0.596 0.247 La
0.821 0.904 0.747 La
0.500 0.000 0.000 Si
0.500 0.500 0.500 Si
0.124 0.193 0.974 Se
0.124 0.307 0.474 Se
0.307 0.713 0.973 Se
0.307 0.787 0.473 Se
0.333 0.030 0.759 Se
0.333 0.470 0.259 Se
0.667 0.530 0.741 Se
0.667 0.970 0.241 Se
0.693 0.213 0.527 Se
0.693 0.287 0.027 Se
0.876 0.693 0.526 Se
0.876 0.807 0.026 Se
```

Output
E_form (uncorrected), eV per atom: -1.1514
ρ, g/cm3: 5.69



Entry 2:
Material: LiNdTh2
Method: DFT, PBE
State: optimized geometry

Structure (POSCAR):
```
LiNdTh2
1.0
3.559 0.000 0.000
0.000 3.559 0.000
0.000 0.000 9.379
Li Nd Th
1 1 2
direct
0.000 0.000 0.000 Li
0.000 0.000 0.500 Nd
0.500 0.500 0.222 Th
0.500 0.500 0.778 Th
```

Output
ρ, g/cm3: 8.60
Final energy, eV per atom: -5.1865



Entry 3:
Material: LaSc8
Method: DFT, PBE
State: optimized geometry

Structure (POSCAR):
```
LaSc8
1.0
-4.975 4.975 2.336
4.975 -4.975 2.336
4.975 4.975 -2.336
La Sc
1 8
direct
0.000 0.000 0.000 La
0.000 0.337 0.337 Sc
0.000 0.663 0.663 Sc
0.329 0.329 0.658 Sc
0.329 0.671 0.000 Sc
0.337 0.000 0.337 Sc
0.663 0.000 0.663 Sc
0.671 0.329 0.000 Sc
0.671 0.671 0.342 Sc
```

Output
ρ, g/cm3: 3.58
Final energy, eV per atom: -6.1097



Entry 4:
Material: Ba2AcMg3
Method: DFT, PBE
State: optimized geometry

Structure (POSCAR):
```
Ba2AcMg3
1.0
4.262 0.000 0.000
0.000 4.262 0.000
0.000 0.000 12.917
Ba Ac Mg
2 1 3
direct
0.000 0.000 0.174 Ba
0.000 0.000 0.826 Ba
0.000 0.000 0.500 Ac
0.500 0.500 0.000 Mg
0.500 0.500 0.350 Mg
0.500 0.500 0.650 Mg
```

Output
ρ, g/cm3: 4.07
Final energy, eV per atom: -2.1832



Entry 5:
Material: Rb2As2Pd
Method: DFT, PBE
State: optimized geometry

Structure (POSCAR):
```
Rb2As2Pd
1.0
6.477 -2.237 0.000
6.477 2.237 0.000
-3.587 0.000 11.967
Rb As Pd
4 4 2
direct
0.014 0.014 0.333 Rb
0.196 0.196 0.128 Rb
0.804 0.804 0.872 Rb
0.986 0.986 0.667 Rb
0.332 0.332 0.418 As
0.465 0.465 0.075 As
0.535 0.535 0.925 As
0.668 0.668 0.582 As
0.237 0.237 0.564 Pd
0.763 0.763 0.436 Pd
```

Output
ρ, g/cm3: 4.09
Final energy, eV per atom: -3.6598



Entry 6:
Material: CsGaP
Method: DFT, PBE
State: optimized geometry

Structure (POSCAR):
```
CsGaP
1.0
4.046 0.000 0.000
-2.023 3.504 0.000
0.000 0.000 6.297
Cs Ga P
1 1 1
direct
0.000 0.000 0.000 Cs
0.333 0.667 0.552 Ga
0.667 0.333 0.438 P
```

Output
ρ, g/cm3: 4.35
Final energy, eV per atom: -3.3277



Entry 7:
Material: Cs2MgHg2Se4
Method: DFT, PBE
State: optimized geometry

Structure (POSCAR):
```
Cs2MgHg2Se4
1.0
8.708 -2.108 0.000
8.708 2.108 0.000
-2.297 0.000 7.933
Cs Mg Hg Se
2 1 2 4
direct
0.124 0.124 0.048 Cs
0.876 0.876 0.952 Cs
0.000 0.000 0.500 Mg
0.338 0.338 0.510 Hg
0.662 0.662 0.490 Hg
0.215 0.215 0.694 Se
0.486 0.486 0.710 Se
0.514 0.514 0.290 Se
0.785 0.785 0.306 Se
```

Output
E_form (uncorrected), eV per atom: -0.7794
ρ, g/cm3: 5.74



Entry 8:
Material: VCrFe6
Method: DFT, PBE
State: optimized geometry

Structure (POSCAR):
```
VCrFe6
1.0
4.558 0.000 0.000
0.000 4.558 0.000
0.000 0.000 4.558
V Cr Fe
1 1 6
direct
0.000 0.000 0.000 V
0.500 0.500 0.500 Cr
0.000 0.251 0.500 Fe
0.000 0.749 0.500 Fe
0.251 0.500 0.000 Fe
0.500 0.000 0.251 Fe
0.500 0.000 0.749 Fe
0.749 0.500 0.000 Fe
```

Output
ρ, g/cm3: 7.68
Final energy, eV per atom: -8.7053



Question: Which value of ρ does entry 2 give?
Answer: 8.60 g/cm3



Question: What is the ρ in the fifth record?
Answer: 4.09 g/cm3